# 1
Crystalline Ni3B at its relaxed geometry, computed with GGA-PBE.

Lattice parameters (Å, degrees): 2.5670 2.5035 6.3002 90.00 90.00 90.00
Closest atoms and distances in Å follow each position.
Element x y z (fractional)
Ni  0.5000  0.0000  0.7480  2 B 1.97
Ni  0.0000  0.5000  0.4686  10 Ni 2.48-2.57
Ni  0.5000  0.5000  0.1315  4 B 2.02
B  0.0000  0.0000  0.9853  6 Ni 1.97-2.02

Computed properties:
**Symmetry**: Pmm2 (25)
**ΔE_f**: 60 meV per atom

***

# 2
Crystalline CsY2Au2 at its relaxed geometry, computed with GGA-PBE.

Lattice parameters (Å, degrees): 5.1411 5.1411 7.0265 68.54 68.54 90.00
Closest atoms and distances in Å follow each position.
Element x y z (fractional)
Y  0.7500  0.2500  0.5000  4 Au 2.98
Y  0.2500  0.7500  0.5000  4 Au 2.98
Au  0.6246  0.6246  0.7509  4 Y 2.98, 1 Au 3.00
Au  0.3754  0.3754  0.2491  4 Y 2.98, 1 Au 3.00
Cs  0.0000  0.0000  0.0000  8 Au 3.93, 8 Y 3.96

Computed properties:
**Symmetry**: I4/mmm (139)
**ΔE_f**: -304 meV per atom

***

# 3
Crystalline Cd8Ag5Rh at its relaxed geometry, computed with GGA-PBE.

Lattice parameters (Å, degrees): 7.2357 7.2357 7.2357 111.81 104.88 111.81
Closest atoms and distances in Å follow each position.
Element x y z (fractional)
Ag  0.7115  0.5947  0.5337  7 Cd 2.89-2.98, 2 Ag 3.03
Ag  0.9389  0.4053  0.1168  7 Cd 2.89-2.98, 2 Ag 3.03
Ag  0.5000  0.0000  0.5000  4 Cd 2.78
Ag  0.4663  0.1778  0.0611  7 Cd 2.89-2.98, 2 Ag 3.03
Ag  0.8832  0.8222  0.2885  7 Cd 2.89-2.98, 2 Ag 3.03
Cd  0.1709  0.7677  0.5962  1 Rh 2.72, 5 Ag 2.78-2.98
Cd  0.6519  0.8913  0.8922  1 Rh 2.78, 3 Ag 2.94-2.97, 2 Cd 3.03-3.08
Cd  0.5968  0.4253  0.8291  1 Rh 2.72, 5 Ag 2.78-2.98
Cd  0.4038  0.5747  0.1715  1 Rh 2.72, 5 Ag 2.78-2.98
Cd  0.8285  0.2323  0.4032  1 Rh 2.72, 5 Ag 2.78-2.98
Cd  0.1078  0.7597  0.9992  1 Rh 2.78, 3 Ag 2.94-2.97, 2 Cd 3.03-3.08
Cd  0.2394  0.2403  0.3481  1 Rh 2.78, 3 Ag 2.94-2.97, 2 Cd 3.03-3.08
Cd  0.0008  0.1087  0.7606  1 Rh 2.78, 3 Ag 2.94-2.97, 2 Cd 3.03-3.08
Rh  0.2500  0.5000  0.7500  8 Cd 2.72-2.78

Computed properties:
**Symmetry**: I-4 (82)
**ΔE_f**: 29 meV per atom

***

# 4
Crystalline Y2Fe2Rh at its relaxed geometry, computed with GGA-PBE.

Lattice parameters (Å, degrees): 6.6218 6.6218 4.2603 90.00 90.00 90.00
Closest atoms and distances in Å follow each position.
Element x y z (fractional)
Rh  0.0000  0.0000  0.0000  4 Fe 2.64
Rh  0.5000  0.5000  0.0000  4 Fe 2.64
Fe  0.3812  0.8812  0.0000  1 Fe 2.22
Fe  0.6188  0.1188  0.0000  1 Fe 2.22
Fe  0.8812  0.6188  0.0000  1 Fe 2.22
Fe  0.1188  0.3812  0.0000  1 Fe 2.22
Y  0.8167  0.3167  0.5000  6 Fe 2.82-2.95
Y  0.1833  0.6833  0.5000  6 Fe 2.82-2.95
Y  0.6833  0.8167  0.5000  6 Fe 2.82-2.95
Y  0.3167  0.1833  0.5000  6 Fe 2.82-2.95

Computed properties:
**Symmetry**: P4/mbm (127)
**ΔE_f**: -135 meV per atom

***

# 5
Crystalline Nd3Ga8Rh3 at its relaxed geometry, computed with GGA-PBE.

Lattice parameters (Å, degrees): 4.4479 8.2521 8.4669 64.14 74.77 74.37
Closest atoms and distances in Å follow each position.
Element x y z (fractional)
Ga  0.6483  0.9690  0.7343  1 Rh 2.53, 3 Ga 2.69-2.77
Ga  0.4907  0.3343  0.6843  3 Rh 2.61-2.72, 3 Ga 2.77-2.87
Ga  0.5093  0.6657  0.3157  3 Rh 2.61-2.72, 3 Ga 2.77-2.87
Ga  0.3517  0.0310  0.2657  1 Rh 2.53, 3 Ga 2.69-2.77
Ga  0.1323  0.1539  0.5814  1 Rh 2.56, 2 Ga 2.69
Ga  0.1416  0.5629  0.1539  4 Rh 2.54-2.67
Ga  0.8584  0.4371  0.8461  4 Rh 2.54-2.67
Ga  0.8677  0.8461  0.4186  1 Rh 2.56, 2 Ga 2.69
Nd  0.2896  0.7302  0.6906  10 Ga 3.02-3.35, 3 Rh 3.17-3.23
Nd  0.7104  0.2698  0.3094  10 Ga 3.02-3.35, 3 Rh 3.17-3.23
Nd  0.0000  0.0000  0.0000  8 Ga 3.15-3.20, 4 Rh 3.48
Rh  0.3304  0.3359  0.0032  5 Ga 2.53-2.61
Rh  0.6696  0.6641  0.9968  5 Ga 2.53-2.61
Rh  0.0000  0.5000  0.5000  8 Ga 2.56-2.72

Computed properties:
**Symmetry**: C2/m (12)
**ΔE_f**: -710 meV per atom
**Relative energy among the computed polymorphs**: 0 meV/atom

***

# 6
Crystalline CeDyTm2S6 at its relaxed geometry, computed with GGA-PBE.

Lattice parameters (Å, degrees): 6.9399 6.9398 7.3340 61.76 61.76 60.00
Closest atoms and distances in Å follow each position.
Element x y z (fractional)
S  0.7250  0.1374  0.7472  2 Tm 2.67-2.74, 1 Dy 2.79, 1 Ce 2.81
S  0.9081  0.6195  0.2457  2 Tm 2.68-2.74, 1 Dy 2.74, 1 Ce 2.91
S  0.6195  0.2267  0.2457  2 Tm 2.68-2.74, 1 Dy 2.74, 1 Ce 2.91
S  0.2267  0.9081  0.2457  2 Tm 2.68-2.74, 1 Dy 2.74, 1 Ce 2.91
S  0.3904  0.7250  0.7472  2 Tm 2.67-2.74, 1 Dy 2.79, 1 Ce 2.81
S  0.1374  0.3904  0.7472  2 Tm 2.67-2.74, 1 Dy 2.79, 1 Ce 2.81
Tm  0.5167  0.5167  0.4500  6 S 2.68-2.74
Tm  0.0134  0.0134  0.9597  6 S 2.67-2.74
Ce  0.8095  0.8095  0.5716  6 S 2.81-2.91
Dy  0.3149  0.3149  0.0552  6 S 2.74-2.79

Computed properties:
**Symmetry**: R3 (146)
**Uncorrected formation energy**: -2.022 eV/atom

***

# 7
Crystalline LaPr2Y8 at its relaxed geometry, computed with GGA-PBE.

Lattice parameters (Å, degrees): 6.7165 6.7912 8.9983 98.46 111.91 90.00
Closest atoms and distances in Å follow each position.
Element x y z (fractional)
Y  0.6475  0.5931  0.8218  4 Y 3.18-3.54, 2 Pr 3.30-3.53, 1 La 3.42
Y  0.7943  0.2030  0.5885  4 Pr 3.39-3.55, 3 Y 3.51-3.70
Y  0.4114  0.0945  0.8228  1 Pr 3.33, 4 Y 3.41-3.72
Y  0.8257  0.4069  0.1782  4 Y 3.18-3.54, 2 Pr 3.30-3.53, 1 La 3.42
Y  0.5886  0.9055  0.1772  1 Pr 3.33, 4 Y 3.41-3.72
Y  0.1743  0.5931  0.8218  4 Y 3.18-3.54, 2 Pr 3.30-3.53, 1 La 3.42
Y  0.3525  0.4069  0.1782  4 Y 3.18-3.54, 2 Pr 3.30-3.53, 1 La 3.42
Y  0.2057  0.7970  0.4115  4 Pr 3.39-3.55, 3 Y 3.51-3.70
Pr  0.2439  0.3021  0.4878  9 Y 3.30-3.55
Pr  0.7561  0.6979  0.5122  9 Y 3.30-3.55
La  0.0000  0.0000  0.0000  8 Y 3.42-3.77

Computed properties:
**Symmetry**: C2/m (12)
**ΔE_f**: 164 meV per atom
**Relative energy among the computed polymorphs**: 22 meV/atom

***

# 8
Crystalline NaAc2Eu at its relaxed geometry, computed with GGA-PBE.

Lattice parameters (Å, degrees): 3.9123 3.9123 11.1480 90.00 90.00 90.00
Closest atoms and distances in Å follow each position.
Element x y z (fractional)
Na  0.5000  0.5000  0.0000  4 Na 3.91, 8 Ac 3.94
Eu  0.5000  0.5000  0.5000  4 Eu 3.91, 8 Ac 3.91
Ac  0.0000  0.0000  0.7484  4 Ac 3.91, 4 Eu 3.91, 4 Na 3.94
Ac  0.0000  0.0000  0.2516  4 Ac 3.91, 4 Eu 3.91, 4 Na 3.94

Computed properties:
**Symmetry**: P4/mmm (123)
**ΔE_f**: 131 meV per atom
**Relative energy among the computed polymorphs**: 0 meV/atom

***

# 9
Crystalline Be2SbBr at its relaxed geometry, computed with GGA-PBE.

Lattice parameters (Å, degrees): 7.8182 7.8182 3.6734 85.21 85.21 26.77
Closest atoms and distances in Å follow each position.
Element x y z (fractional)
Be  0.6945  0.6945  0.7241  2 Be 2.38, 4 Sb 2.59
Be  0.0921  0.0921  0.7623  2 Br 2.26, 2 Be 2.38
Br  0.5023  0.5023  0.7943  2 Be 2.26
Sb  0.2111  0.2111  0.2193  6 Be 2.57-2.59

Computed properties:
**Symmetry**: Cm (8)
**Relative energy among the computed polymorphs**: 99 meV/atom
**Uncorrected formation energy**: 0.059 eV/atom

***

# 10
Crystalline GaHgB at its relaxed geometry, computed with GGA-PBE.

Lattice parameters (Å, degrees): 8.8337 3.8247 6.4709 90.00 90.00 90.00
Closest atoms and distances in Å follow each position.
Element x y z (fractional)
Ga  0.7500  0.2500  0.3473  3 B 2.12-2.21
Ga  0.2500  0.7500  0.6527  3 B 2.12-2.21
Ga  0.2500  0.2500  0.1527  3 B 2.12-2.21
Ga  0.7500  0.7500  0.8473  3 B 2.12-2.21
B  0.2500  0.7500  0.3245  3 Ga 2.12-2.21, 2 Hg 2.26
B  0.2500  0.2500  0.8245  3 Ga 2.12-2.21, 2 Hg 2.26
B  0.7500  0.7500  0.1755  3 Ga 2.12-2.21, 2 Hg 2.26
B  0.7500  0.2500  0.6755  3 Ga 2.12-2.21, 2 Hg 2.26
Hg  0.5000  0.2500  0.7501  2 B 2.26
Hg  0.0000  0.2500  0.7499  2 B 2.26
Hg  0.0000  0.7500  0.2501  2 B 2.26
Hg  0.5000  0.7500  0.2499  2 B 2.26

Computed properties:
**Symmetry**: Cmcm (63)
**ΔE_f**: 460 meV per atom

***

# 11
Crystalline TaSe4Br at its relaxed geometry, computed with GGA-PBE.

Lattice parameters (Å, degrees): 5.6536 5.6536 5.6536 60.00 60.00 60.00
Closest atoms and distances in Å follow each position.
Element x y z (fractional)
Ta  0.7500  0.7500  0.7500  12 Se 3.31, 4 Br 3.46
Se  0.8715  0.3762  0.3762  6 Se 2.80-2.85
Se  0.3762  0.8715  0.3762  6 Se 2.80-2.85
Se  0.3762  0.3762  0.8715  6 Se 2.80-2.85
Se  0.3762  0.3762  0.3762  6 Se 2.80-2.85
Br  0.0000  0.0000  0.0000  12 Se 3.32, 4 Ta 3.46

Computed properties:
**Symmetry**: F-43m (216)
**Relative energy among the computed polymorphs**: 1349 meV/atom
**Uncorrected formation energy**: 0.843 eV/atom

***

# 12
Crystalline Sr2CoN2 at its relaxed geometry, computed with GGA-PBE.

Lattice parameters (Å, degrees): 5.1279 6.4386 10.9740 90.00 90.00 90.00
Closest atoms and distances in Å follow each position.
Element x y z (fractional)
N  0.7500  0.2693  0.5021  1 Co 1.81
N  0.7500  0.9592  0.7382  2 Co 1.86-1.88
N  0.2500  0.0408  0.2618  2 Co 1.86-1.88
N  0.7500  0.4592  0.7618  2 Co 1.86-1.88
N  0.2500  0.7307  0.4979  1 Co 1.81
N  0.2500  0.5408  0.2382  2 Co 1.86-1.88
N  0.2500  0.2307  0.0021  1 Co 1.81
N  0.7500  0.7693  0.9979  1 Co 1.81
Sr  0.2500  0.9557  0.6782  3 N 2.45-2.65
Sr  0.7500  0.1601  0.9418  5 N 2.58-2.76
Sr  0.2500  0.3399  0.4418  5 N 2.58-2.76
Sr  0.7500  0.0443  0.3218  3 N 2.45-2.65
Sr  0.7500  0.5443  0.1782  3 N 2.45-2.65
Sr  0.2500  0.4557  0.8218  3 N 2.45-2.65
Sr  0.2500  0.8399  0.0582  5 N 2.58-2.76
Sr  0.7500  0.6601  0.5582  5 N 2.58-2.76
Co  0.2500  0.2774  0.1651  3 N 1.81-1.88
Co  0.2500  0.7774  0.3349  3 N 1.81-1.88
Co  0.7500  0.2226  0.6651  3 N 1.81-1.88
Co  0.7500  0.7226  0.8349  3 N 1.81-1.88

Computed properties:
**Symmetry**: Pnma (62)
**Uncorrected formation energy**: -0.410 eV/atom

***

no.,total magnetization (μB/cell)
1,0.0
2,0.0
3,0.0
4,7.0
5,0.0
6,1.0
7,0.0
8,7.8
9,0.0
10,0.0
11,2.0
12,5.8